# 1
PBE Sc3Ge3Rh, relaxed; E above lowest polymorph = 0 meV per atom; energy relative to the elements = -835 meV per atom; space group = No. 63
1.0
-1.7327 -2.7689 -2.2444
5.3418 -0.3011 -0.2535
0.0172 -8.2157 10.1223
Sc Ge Rh
6 6 2
Direct
0.2001 0.4002 0.9009
0.7999 0.5998 0.0991
0.2001 0.4002 0.5991
0.7999 0.5998 0.4009
0.4801 0.9602 0.7500
0.5199 0.0398 0.2500
0.9147 0.8293 0.9014
0.0853 0.1707 0.0986
0.9147 0.8293 0.5986
0.0853 0.1707 0.4014
0.7518 0.5037 0.7500
0.2482 0.4963 0.2500
0.5000 0.0000 0.0000
0.5000 0.0000 0.5000



# 2
PBE Mg4SiCl, relaxed; formation energy (no corrections) = 0.116 eV/atom; space group = No. 216
1.0
0.0000 4.0649 4.0649
4.0649 0.0000 4.0649
4.0649 4.0649 0.0000
Mg Si Cl
4 1 1
Direct
0.8719 0.3760 0.3760
0.3760 0.3760 0.8719
0.3760 0.8719 0.3760
0.3760 0.3760 0.3760
0.7500 0.7500 0.7500
0.0000 0.0000 0.0000



# 3
PBE Ac2La5Sm4, relaxed; energy relative to the elements = 28 meV per atom; space group = No. 2
1.0
-3.4964 -2.2337 -4.9727
-3.5064 -9.0662 2.1669
1.1385 10.2879 8.7092
Ac La Sm
2 5 4
Direct
0.2259 0.2699 0.3161
0.7741 0.7301 0.6839
0.3141 0.1834 0.0435
0.6859 0.8166 0.9565
0.5000 0.0000 0.5000
0.9457 0.5453 0.1314
0.0543 0.4547 0.8686
0.1412 0.3608 0.5911
0.8588 0.6392 0.4089
0.6055 0.9089 0.2340
0.3945 0.0911 0.7660



# 4
PBE YScAu6, relaxed; energy relative to the elements = -628 meV per atom; space group = No. 12
1.0
0.7733 3.9606 1.8172
-0.0196 0.1541 5.0615
7.9386 0.3240 1.3047
Y Sc Au
1 1 6
Direct
0.0000 0.5000 0.5000
0.0000 0.0000 0.0000
0.2470 0.8681 0.6378
0.5063 0.2363 0.7512
0.2530 0.3787 0.1154
0.4937 0.7637 0.2488
0.7530 0.1319 0.3622
0.7470 0.6213 0.8846



# 5
PBE BaAgSnAu3, relaxed; energy relative to the elements = -303 meV per atom; space group = No. 63
1.0
7.4463 0.0000 0.0000
0.0000 6.7080 0.0000
0.0000 -3.3540 6.3622
Ba Ag Sn Au
2 2 2 6
Direct
0.7500 0.2994 0.5987
0.2500 0.7006 0.4013
0.2500 0.9523 0.9046
0.7500 0.0477 0.0954
0.2500 0.3821 0.7642
0.7500 0.6179 0.2358
0.2500 0.1696 0.3393
0.0000 0.2803 0.0000
0.5000 0.7197 0.0000
0.5000 0.2803 0.0000
0.0000 0.7197 0.0000
0.7500 0.8304 0.6607



# 6
PBE Pr5Tl2Pd, relaxed; E above lowest polymorph = 0 meV per atom; energy relative to the elements = -384 meV per atom; space group = No. 55
1.0
5.0136 0.0000 0.0000
0.0000 7.6652 0.0000
0.0000 0.0000 12.9643
Pr Tl Pd
10 4 2
Direct
0.0000 0.0000 0.5000
0.0000 0.5000 0.0000
0.0000 0.8710 0.2128
0.0000 0.1290 0.7872
0.0000 0.6290 0.7128
0.0000 0.3710 0.2872
0.5000 0.6801 0.4199
0.5000 0.3199 0.5801
0.5000 0.8199 0.9199
0.5000 0.1801 0.0801
0.5000 0.5960 0.1627
0.5000 0.4040 0.8373
0.5000 0.9040 0.6627
0.5000 0.0960 0.3373
0.0000 0.5000 0.5000
0.0000 0.0000 0.0000



Result set for E: -6.577 -2.159 -4.675 -4.686 -3.404 -4.612 eV per atom, one per record in the order listed.